# 1
The following is a DFT calculation (GGA-PBE) of Pr2Nd2DyEr after structural relaxation. Values from VASP.

Structure (Quantum ESPRESSO input):
```
&SYSTEM
  ibrav = 0, nat = 12, ntyp = 4
/
ATOMIC_SPECIES
Pr 140.91 Pr.upf
Nd 144.24 Nd.upf
Dy 162.50 Dy.upf
Er 167.26 Er.upf
CELL_PARAMETERS angstrom
-1.4917 -2.9743 -4.6855
6.8510 -0.5413 -1.8375
0.7130 -8.4820 5.1574
ATOMIC_POSITIONS angstrom
Pr 3.4450 -10.2431 1.8813
Nd 1.2558 -4.4464 -1.1015
Nd 4.9203 -7.5594 -0.2920
Dy 1.4879 -7.2134 0.5811
Pr 5.7775 -7.3866 2.8496
Nd 2.3610 -7.2302 3.8381
Nd 5.3073 -1.8014 -0.5462
Er 3.8338 -4.5162 1.6463
Pr 1.8922 -1.6451 0.4419
Pr -0.6933 -1.4922 -2.3563
Dy 4.6871 -4.7923 -1.9743
Er 0.4082 -4.2447 2.5646
```

Values from the calculation:
DFT total energy: -55.8 eV for the cell shown
Formation enthalpy at 0 K: 0.06 eV/atom
Volume: 33.906 A^3/atom
Size of the total moment: 0.00 Bohr magnetons per cell

# 2
The following is a DFT calculation (GGA-PBE) of Nb2MoIr after structural relaxation. Values from VASP.

Structure (Quantum ESPRESSO input):
```
&SYSTEM
  ibrav = 0, nat = 8, ntyp = 3
/
ATOMIC_SPECIES
Ir 192.22 Ir.upf
Nb 92.91 Nb.upf
Mo 95.94 Mo.upf
CELL_PARAMETERS angstrom
3.7849 0.0000 0.0000
0.0000 3.7849 0.0000
1.8924 1.8924 9.9998
ATOMIC_POSITIONS angstrom
Ir 0.0000 0.0000 0.0000
Nb 0.9501 2.8387 2.5000
Nb 4.7311 4.7272 7.4999
Mo 1.8924 3.7849 4.9999
Nb 2.8348 0.9462 2.5000
Nb 2.8387 2.8425 7.4999
Ir 3.7849 1.8924 4.9999
Mo 1.8924 1.8924 0.0000
```

Values from the calculation:
DFT total energy: -75.3 eV for the cell shown
Formation enthalpy at 0 K: 0.55 eV/atom
Volume: 17.906 A^3/atom
Size of the total moment: 0.00 Bohr magnetons per cell

# 3
The following is a DFT calculation (GGA-PBE) of YTlVAs2 after structural relaxation. Values from VASP.

Structure (Quantum ESPRESSO input):
```
&SYSTEM
  ibrav = 0, nat = 5, ntyp = 4
/
ATOMIC_SPECIES
Y 88.91 Y.upf
As 74.92 As.upf
Tl 204.38 Tl.upf
V 50.94 V.upf
CELL_PARAMETERS angstrom
-4.9345 0.0171 2.0747
0.6194 -5.4528 1.5180
1.9914 1.5412 4.7236
ATOMIC_POSITIONS angstrom
Y 0.0000 0.0000 0.0000
As -2.4672 0.0085 1.0373
Tl 0.3097 -2.7264 0.7590
V -1.1619 -1.9473 4.1582
As 0.9957 0.7706 2.3618
```

Values from the calculation:
DFT total energy: -22.0 eV for the cell shown
Formation enthalpy at 0 K: 1.05 eV/atom
Volume: 32.631 A^3/atom
Size of the total moment: 0.11 Bohr magnetons per cell

# 4
The following is a DFT calculation (GGA-PBE) of NaIr after structural relaxation. Values from VASP.

Structure (Quantum ESPRESSO input):
```
&SYSTEM
  ibrav = 0, nat = 8, ntyp = 2
/
ATOMIC_SPECIES
Ir 192.22 Ir.upf
Na 22.99 Na.upf
CELL_PARAMETERS angstrom
6.9199 0.0000 0.0000
0.0000 6.9199 0.0000
0.0000 0.0000 6.9199
ATOMIC_POSITIONS angstrom
Ir 3.4599 0.0000 3.4599
Na 1.7300 5.1899 5.1899
Na 5.1899 5.1899 1.7300
Na 5.1899 1.7300 5.1899
Na 1.7300 1.7300 1.7300
Ir 0.0000 3.4599 3.4599
Ir 0.0000 0.0000 0.0000
Ir 3.4599 3.4599 0.0000
```

Values from the calculation:
DFT total energy: -21.9 eV for the cell shown
Formation enthalpy at 0 K: 2.36 eV/atom
Volume: 41.420 A^3/atom
Size of the total moment: 8.00 Bohr magnetons per cell

# 5
The following is a DFT calculation (GGA-PBE) of Sc4Al2CdAg after structural relaxation. Values from VASP.

Structure (Quantum ESPRESSO input):
```
&SYSTEM
  ibrav = 0, nat = 8, ntyp = 4
/
ATOMIC_SPECIES
Sc 44.96 Sc.upf
Cd 112.41 Cd.upf
Ag 107.87 Ag.upf
Al 26.98 Al.upf
CELL_PARAMETERS angstrom
-1.7513 4.4971 0.6893
-2.9736 0.9088 3.7547
4.7198 3.5543 6.0424
ATOMIC_POSITIONS angstrom
Sc 2.3201 5.1267 6.9262
Cd 0.0000 0.0000 0.0000
Sc -2.3317 6.0722 6.1782
Sc 2.3265 2.8880 4.3083
Ag -0.0026 4.4801 5.2432
Al -0.0164 2.2358 2.6107
Sc -2.3252 3.8336 3.5603
Al 0.0113 6.7244 7.8758
```

Values from the calculation:
DFT total energy: -39.5 eV for the cell shown
Formation enthalpy at 0 K: -0.36 eV/atom
Volume: 20.501 A^3/atom
Size of the total moment: 0.00 Bohr magnetons per cell

# 6
The following is a DFT calculation (GGA-PBE) of Y8Tm4Pu after structural relaxation. Values from VASP.

Structure (Quantum ESPRESSO input):
```
&SYSTEM
  ibrav = 0, nat = 13, ntyp = 3
/
ATOMIC_SPECIES
Tm 168.93 Tm.upf
Y 88.91 Y.upf
Pu 244.00 Pu.upf
CELL_PARAMETERS angstrom
6.3997 -0.0005 -3.4526
-4.1310 5.9843 -0.0005
1.1508 0.7952 9.7904
ATOMIC_POSITIONS angstrom
Tm 0.0000 0.0000 0.0000
Y 6.0139 1.7679 3.4894
Tm -2.0655 2.9921 -0.0002
Y 0.7652 4.9463 1.4177
Pu -1.4901 3.3897 4.8950
Tm 3.1999 -0.0002 -1.7263
Tm 1.1343 2.9919 -1.7266
Y 3.7849 4.9968 3.4891
Y 0.8382 4.9971 5.0788
Y -2.5944 5.0111 2.8479
Y 2.6543 1.8327 4.9196
Y 2.5812 1.7820 1.2585
Y -0.3654 1.7822 2.8482
```

Values from the calculation:
DFT total energy: -81.4 eV for the cell shown
Formation enthalpy at 0 K: 0.19 eV/atom
Volume: 31.543 A^3/atom
Size of the total moment: 5.12 Bohr magnetons per cell

# 7
The following is a DFT calculation (GGA-PBE) of HfTcPd after structural relaxation. Values from VASP.

Structure (Quantum ESPRESSO input):
```
&SYSTEM
  ibrav = 0, nat = 9, ntyp = 3
/
ATOMIC_SPECIES
Pd 106.42 Pd.upf
Hf 178.49 Hf.upf
Tc 98.00 Tc.upf
CELL_PARAMETERS angstrom
-3.2724 -2.1066 -1.6703
4.1980 -3.9399 -3.2555
-2.0424 -1.6424 6.0725
ATOMIC_POSITIONS angstrom
Pd -0.8554 -0.6878 2.5432
Hf 0.4817 -4.2274 -0.9813
Pd 1.2528 -3.2444 1.6373
Tc -1.1240 -2.3797 -0.1658
Tc -3.1933 -2.3054 3.7945
Pd 1.7582 -1.6501 -1.3634
Tc 1.5644 -4.0571 -3.3171
Hf -1.5984 -3.4615 2.1280
Hf 0.0000 0.0000 0.0000
```

Values from the calculation:
DFT total energy: -75.9 eV for the cell shown
Formation enthalpy at 0 K: 0.07 eV/atom
Volume: 17.827 A^3/atom
Size of the total moment: 0.00 Bohr magnetons per cell

# 8
The following is a DFT calculation (GGA-PBE) of K3Nd3TmTe8 after structural relaxation. Values from VASP.

Structure (Quantum ESPRESSO input):
```
&SYSTEM
  ibrav = 0, nat = 15, ntyp = 4
/
ATOMIC_SPECIES
K 39.10 K.upf
Te 127.60 Te.upf
Nd 144.24 Nd.upf
Tm 168.93 Tm.upf
CELL_PARAMETERS angstrom
-0.8550 -8.5659 -2.6037
5.0426 2.0382 7.1697
-9.8931 0.6464 1.1226
ATOMIC_POSITIONS angstrom
K 2.5213 1.0191 3.5849
Te -2.7202 -3.9392 5.8607
Te -0.8310 -5.3004 2.1771
Nd -5.3741 -3.9597 -0.7406
Te -2.2804 0.4676 7.2001
Te -2.9853 -1.9421 -0.1721
Te -4.8745 -0.5809 3.5115
Te -3.4251 -6.3488 -1.5115
Te -5.3080 -4.8918 2.3032
Te -0.3974 -0.9895 3.3853
Nd -2.8527 -2.9406 2.8443
Nd -2.4252 1.3423 4.1461
K 2.0938 -3.2639 2.2830
K 0.0000 0.0000 0.0000
Tm -4.9466 0.3232 0.5613
```

Values from the calculation:
DFT total energy: -67.0 eV for the cell shown
Volume: 39.806 A^3/atom
ΔE_f (raw): -127 kJ/mol of atoms
Size of the total moment: 0.00 Bohr magnetons per cell

# 9
The following is a DFT calculation (GGA-PBE) of Ba5Sr4Mg2 after structural relaxation. Values from VASP.

Structure (Quantum ESPRESSO input):
```
&SYSTEM
  ibrav = 0, nat = 22, ntyp = 3
/
ATOMIC_SPECIES
Mg 24.30 Mg.upf
Sr 87.62 Sr.upf
Ba 137.33 Ba.upf
CELL_PARAMETERS angstrom
-1.4204 -0.9058 4.1310
10.3412 -2.0922 3.0970
2.8359 22.8891 5.9937
ATOMIC_POSITIONS angstrom
Mg 1.6780 17.9506 6.9218
Sr 0.9930 7.3636 4.3650
Ba 8.1670 11.9963 5.4384
Ba 1.4179 11.4445 2.9968
Ba 5.1706 -1.0461 1.5485
Ba 9.2262 0.0506 3.1834
Ba 8.7482 4.6150 4.0199
Ba 9.7249 16.1488 6.8846
Mg 10.0786 1.9405 6.2999
Ba 3.4521 4.6480 2.2061
Ba 3.9509 20.7463 5.9072
Mg 6.5369 14.3885 7.8114
Sr 6.1479 18.0521 8.4810
Sr 5.6088 1.8390 4.7408
Sr 7.7813 7.8103 6.7970
Ba 5.0101 8.8005 3.6523
Sr 10.1408 19.0643 10.0758
Sr 1.6158 0.8268 3.1459
Sr 10.7636 12.5275 8.8567
Sr 3.9754 12.0808 6.4247
Mg 5.2197 5.5027 5.4103
Ba 4.4288 16.1819 5.0708
```

Values from the calculation:
DFT total energy: -38.9 eV for the cell shown
Formation enthalpy at 0 K: 0.01 eV/atom
Volume: 53.137 A^3/atom
Size of the total moment: 0.00 Bohr magnetons per cell

# 10
The following is a DFT calculation (GGA-PBE) of Th2Tc5Ge3 after structural relaxation. Values from VASP.

Structure (Quantum ESPRESSO input):
```
&SYSTEM
  ibrav = 0, nat = 20, ntyp = 3
/
ATOMIC_SPECIES
Ge 72.64 Ge.upf
Th 232.04 Th.upf
Tc 98.00 Tc.upf
CELL_PARAMETERS angstrom
6.0693 0.0000 0.0000
3.0346 7.9146 -0.4106
3.0346 0.8151 7.8832
ATOMIC_POSITIONS angstrom
Ge 4.5519 0.0000 0.0000
Th 3.0346 5.1015 0.6802
Tc 9.1039 6.6030 7.5028
Ge 6.0693 4.2971 1.7098
Tc 4.5519 4.3648 3.7363
Tc 6.0693 8.4315 5.3667
Tc 7.5866 6.5330 5.5922
Tc 6.0693 0.2982 2.1059
Tc 7.5866 2.1967 1.8803
Tc 4.5519 6.5330 5.5922
Th 9.1039 3.6282 6.7924
Ge 6.0693 4.4326 5.7628
Tc 7.5866 4.3648 3.7363
Tc 3.0346 2.1267 -0.0302
Th 6.0693 1.4589 4.9355
Ge 1.5173 0.0000 0.0000
Th 6.0692 7.2707 2.5371
Ge 9.1039 6.3775 3.4907
Tc 4.5519 2.1967 1.8803
Ge 3.0346 2.3522 3.9819
```

Values from the calculation:
DFT total energy: -167.6 eV for the cell shown
Formation enthalpy at 0 K: -0.33 eV/atom
Volume: 19.035 A^3/atom
Size of the total moment: 0.00 Bohr magnetons per cell

# 11
The following is a DFT calculation (GGA-PBE) of Zr2AgW after structural relaxation. Values from VASP.

Structure (Quantum ESPRESSO input):
```
&SYSTEM
  ibrav = 0, nat = 4, ntyp = 3
/
ATOMIC_SPECIES
Zr 91.22 Zr.upf
W 183.84 W.upf
Ag 107.87 Ag.upf
CELL_PARAMETERS angstrom
3.5166 0.0000 0.0000
0.0000 3.5166 0.0000
0.0000 0.0000 6.3435
ATOMIC_POSITIONS angstrom
Zr 1.7583 1.7583 1.6304
Zr 0.0000 0.0000 6.1919
W 1.7583 1.7583 4.8275
Ag 0.0000 0.0000 3.2088
```

Values from the calculation:
DFT total energy: -31.6 eV for the cell shown
Formation enthalpy at 0 K: 0.32 eV/atom
Volume: 19.611 A^3/atom
Energy relative to the lowest polymorph listed for this composition: 30.7 kJ per mole of atoms
Size of the total moment: 0.00 Bohr magnetons per cell